Crystalline Sr2ReBAs at its relaxed geometry, computed with PBE-GGA.

a = 5.8522 Å, b = 5.8522 Å, c = 4.5970 Å
α = 90.00°, β = 90.00°, γ = 90.00°
Fractional coordinates of all 5 atoms:
Sr 0.0000 0.5000 0.0000
Sr 0.5000 0.0000 0.0000
Re 0.0000 0.0000 0.5000
B 0.5000 0.5000 0.5000
As 0.0000 0.0000 0.0000

Output
* SG: P4/mmm, No. 123
* formation enthalpy at 0 K: 1.02 eV per atom


Crystalline UP2Ir2Pt at its relaxed geometry, computed with PBE-GGA.

a = 3.6080 Å, b = 8.8221 Å, c = 6.2073 Å
α = 90.00°, β = 90.00°, γ = 90.00°
Fractional coordinates of all 12 atoms:
U 0.0000 0.0625 0.0000
U 0.0000 0.9375 0.5000
P 0.0000 0.3988 0.7701
P 0.0000 0.6012 0.2701
P 0.5000 0.1955 0.2872
P 0.5000 0.8045 0.7872
Ir 0.0000 0.3543 0.3933
Ir 0.0000 0.6457 0.8933
Ir 0.5000 0.3830 0.0145
Ir 0.5000 0.6170 0.5145
Pt 0.5000 0.1779 0.6753
Pt 0.5000 0.8221 0.1753

Output
* SG: Pmc2_1, No. 26
* formation enthalpy at 0 K: -0.52 eV per atom


Crystalline Sr2ZrZn2 at its relaxed geometry, computed with PBE-GGA.

a = 11.5068 Å, b = 11.5068 Å, c = 11.5068 Å
α = 161.86°, β = 161.86°, γ = 25.77°
Fractional coordinates of all 5 atoms:
Sr 0.1169 0.1169 0.0000
Sr 0.8831 0.8831 0.0000
Zr 0.5000 0.5000 0.0000
Zn 0.2500 0.7500 0.5000
Zn 0.7500 0.2500 0.5000

Output
* SG: I4/mmm, No. 139
* formation enthalpy at 0 K: 0.30 eV per atom